No. 1
! CdAgO2F PBE optimized geometry; values from VASP
! * crystal system: tetragonal
! * energy relative to the elements, uncorrected: -0.23 eV per atom
&SYSTEM
  ibrav = 0, nat = 5, ntyp = 4
/
ATOMIC_SPECIES
O 16.00 O.upf
Cd 112.41 Cd.upf
F 19.00 F.upf
Ag 107.87 Ag.upf
ATOMIC_POSITIONS crystal
O 0.0000 0.5000 0.0000
Cd 0.0000 0.0000 0.0000
F 0.0000 0.0000 0.5000
O 0.5000 0.0000 0.0000
Ag 0.5000 0.5000 0.5000
CELL_PARAMETERS angstrom
-0.8062 4.0742 -0.7238
-2.1167 -1.0396 -3.4945
-3.7202 -0.3190 2.3483

No. 2
! CdAg2PF PBE optimized geometry; values from VASP
! * crystal system: tetragonal
! * energy relative to the elements, uncorrected: -0.28 eV per atom
&SYSTEM
  ibrav = 0, nat = 5, ntyp = 4
/
ATOMIC_SPECIES
F 19.00 F.upf
Ag 107.87 Ag.upf
P 30.97 P.upf
Cd 112.41 Cd.upf
ATOMIC_POSITIONS crystal
F 0.5000 0.5000 0.5000
Ag 0.5000 0.0000 0.0000
Ag 0.0000 0.0000 0.5000
P 0.0000 0.0000 0.0000
Cd 0.0000 0.5000 0.0000
CELL_PARAMETERS angstrom
-4.1557 -2.2520 -0.4811
2.4049 -4.2507 -0.8758
-0.0146 -0.9667 4.6517

No. 3
! CdAgPbF6 PBE optimized geometry; values from VASP
! * crystal system: trigonal
! * energy relative to the elements, uncorrected: -1.85 eV per atom
&SYSTEM
  ibrav = 0, nat = 18, ntyp = 4
/
ATOMIC_SPECIES
F 19.00 F.upf
Ag 107.87 Ag.upf
Pb 207.20 Pb.upf
Cd 112.41 Cd.upf
ATOMIC_POSITIONS crystal
F 0.3421 0.0057 0.6291
Ag 0.0000 0.0000 0.0000
F 0.0057 0.3421 0.1291
F 0.6579 0.9943 0.3709
F 0.9943 0.3364 0.6291
F 0.3364 0.3421 0.3709
Pb 0.3333 0.6667 0.7500
Pb 0.6667 0.3333 0.2500
Ag 0.0000 0.0000 0.5000
F 0.6636 0.0057 0.8709
F 0.6579 0.6636 0.1291
Cd 0.3333 0.6667 0.2500
F 0.0057 0.6636 0.3709
F 0.6636 0.6579 0.6291
F 0.3421 0.3364 0.8709
F 0.9943 0.6579 0.8709
Cd 0.6667 0.3333 0.7500
F 0.3364 0.9943 0.1291
CELL_PARAMETERS angstrom
-3.2105 1.6861 -4.8765
-2.6938 -0.3605 5.4354
2.1952 9.0651 1.6892

No. 4
! CdAgPdF6 PBE optimized geometry; values from VASP
! * crystal system: tetragonal
! * energy relative to the elements, uncorrected: -1.51 eV per atom
&SYSTEM
  ibrav = 0, nat = 18, ntyp = 4
/
ATOMIC_SPECIES
F 19.00 F.upf
Pd 106.42 Pd.upf
Ag 107.87 Ag.upf
Cd 112.41 Cd.upf
ATOMIC_POSITIONS crystal
F 0.8145 0.1855 0.4896
F 0.3145 0.3145 0.9896
F 0.1942 0.8058 0.1815
F 0.1855 0.8145 0.4896
F 0.3058 0.3058 0.6815
Pd 0.5000 0.5000 0.8329
F 0.7805 0.2195 0.8300
F 0.2805 0.2805 0.3300
Ag 0.5000 0.5000 0.4979
F 0.6942 0.6942 0.6815
Ag 0.0000 0.0000 0.9979
F 0.6855 0.6855 0.9896
Cd 0.0000 0.0000 0.6669
Pd 0.0000 0.0000 0.3329
Cd 0.5000 0.5000 0.1669
F 0.2195 0.7805 0.8300
F 0.8058 0.1942 0.1815
F 0.7195 0.7195 0.3300
CELL_PARAMETERS angstrom
-1.6906 4.0458 2.6417
-4.5533 -2.2705 0.5635
3.3523 -4.4855 9.0150

No. 5
! CdAgPtF6 PBE optimized geometry; values from VASP
! * crystal system: trigonal
! * energy relative to the elements, uncorrected: -1.43 eV per atom
&SYSTEM
  ibrav = 0, nat = 18, ntyp = 4
/
ATOMIC_SPECIES
F 19.00 F.upf
Cd 112.41 Cd.upf
Ag 107.87 Ag.upf
Pt 195.08 Pt.upf
ATOMIC_POSITIONS crystal
F 0.3418 0.3651 0.8633
Cd 0.3333 0.6667 0.2500
F 0.0233 0.6582 0.8633
F 0.6582 0.0233 0.3633
Ag 0.0000 0.0000 0.0000
F 0.6349 0.6582 0.6367
F 0.0233 0.3651 0.6367
Pt 0.3333 0.6667 0.7500
Ag 0.0000 0.0000 0.5000
F 0.3651 0.0233 0.1367
Pt 0.6667 0.3333 0.2500
F 0.6582 0.6349 0.1367
F 0.9767 0.6349 0.3633
F 0.9767 0.3418 0.1367
F 0.6349 0.9767 0.8633
F 0.3651 0.3418 0.3633
F 0.3418 0.9767 0.6367
Cd 0.6667 0.3333 0.7500
CELL_PARAMETERS angstrom
-2.6585 -4.9539 -1.7247
4.4490 -0.2334 3.8386
-6.2370 0.8131 7.2782

No. 6
! Rb3Cd2AgF9 PBE optimized geometry; values from VASP
! * crystal system: trigonal
! * energy relative to the elements, uncorrected: -2.23 eV per atom
&SYSTEM
  ibrav = 0, nat = 15, ntyp = 4
/
ATOMIC_SPECIES
F 19.00 F.upf
Ag 107.87 Ag.upf
Rb 85.47 Rb.upf
Cd 112.41 Cd.upf
ATOMIC_POSITIONS crystal
F 0.1678 0.8322 0.3338
F 0.3356 0.1678 0.6662
F 0.8322 0.6644 0.6662
F 0.6644 0.8322 0.3338
Ag 0.0000 0.0000 0.5000
F 0.1678 0.3356 0.3338
Rb 0.3333 0.6667 0.6606
F 0.8322 0.1678 0.6662
F 0.5000 0.5000 0.0000
Cd 0.6667 0.3333 0.8339
Cd 0.3333 0.6667 0.1661
F 0.5000 0.0000 0.0000
Rb 0.6667 0.3333 0.3394
F 0.0000 0.5000 0.0000
Rb 0.0000 0.0000 0.0000
CELL_PARAMETERS angstrom
-0.0960 -6.1231 -1.6468
5.3560 3.3493 -0.5560
1.9928 -1.9823 7.2544

Table of total magnetization (μB per cell), in record order: 1.4; 0.0; 0.0; 2.0; 2.0; 1.0
Table of calculated total energy (eV for the cell shown), in record order: -16.73; -15.29; -70.73; -67.58; -67.75; -57.95